# CrOsO2F

Crystalline CrOsO2F at its relaxed geometry (GGA+U, Alexandria).

Summary:
V: 87.1 Å³/cell
total DFT energy (no corrections): -0.5081 Ry/atom

CIF file:
```
data_CrOsO2F
_chemical_formula_sum 'Cr1 Os1 O2 F1'
_symmetry_space_group_name_H-M 'P 4/m m m'
_symmetry_Int_Tables_number 123
_symmetry_space_group_name_Hall '-P 4 2'
_cell_length_a 3.6651
_cell_length_b 3.6651
_cell_length_c 6.4834
_cell_angle_alpha 90.00
_cell_angle_beta 90.00
_cell_angle_gamma 90.00
loop_
_atom_site_label
_atom_site_fract_x
_atom_site_fract_y
_atom_site_fract_z
Cr1 0.0000 0.0000 0.0000
Os1 0.5000 0.5000 0.5000
O1 0.0000 0.5000 0.5000
F1 0.5000 0.5000 0.0000
```